# NdNpNi2O6 GGA+U relaxed
# Raw total energy = -0.55150 Ry per atom
# Magnetic moment = 0.200 μB per atom
data_NdNpNi2O6
_chemical_formula_sum 'Nd3 Np3 Ni6 O18'
_symmetry_space_group_name_H-M 'R 3'
_symmetry_Int_Tables_number 146
_symmetry_space_group_name_Hall 'R 3'
_cell_length_a 5.5138
_cell_length_b 5.5138
_cell_length_c 14.6328
_cell_angle_alpha 90.00
_cell_angle_beta 90.00
_cell_angle_gamma 120.00
loop_
_atom_site_label
_atom_site_fract_x
_atom_site_fract_y
_atom_site_fract_z
Nd1 0.0000 0.0000 0.0000
Np1 0.0000 0.0000 0.4840
Ni1 0.0000 0.0000 0.2772
Ni2 0.0000 0.0000 0.7880
O1 0.0116 0.3643 0.5459
O2 0.0230 0.6153 0.0514